(1)
Entry from Alexandria via LeMat-Bulk: an optimized crystal structure of Li3CuP (PBE).

Geometry as POSCAR:
```
Li3CuP
1.0
4.597 0.000 0.000
0.000 4.597 0.000
0.000 0.000 4.597
Li Cu P
3 1 1
direct
0.000 0.000 0.500
0.000 0.500 0.000
0.500 0.000 0.000
0.500 0.500 0.500
0.000 0.000 0.000
```

Properties
M_tot (μB/f.u.): 0.0
Energy of formation (eV/atom): -0.014



(2)
Entry from Alexandria via LeMat-Bulk: an optimized crystal structure of LiCu2P2 (PBE).

Geometry as POSCAR:
```
LiCu2P2
1.0
-1.953 1.953 4.736
1.953 -1.953 4.736
1.953 1.953 -4.736
Li Cu P
1 2 2
direct
0.000 0.000 0.000
0.250 0.750 0.500
0.750 0.250 0.500
0.386 0.386 0.000
0.614 0.614 0.000
```

Properties
M_tot (μB/f.u.): 0.0
Energy of formation (eV/atom): -0.321



(3)
Entry from Alexandria via LeMat-Bulk: an optimized crystal structure of LiCuP (PBE).

Geometry as POSCAR:
```
LiCuP
1.0
3.971 0.000 0.000
-1.986 3.439 0.000
0.000 0.000 2.973
Li Cu P
1 1 1
direct
0.000 0.000 0.000
0.333 0.667 0.500
0.667 0.333 0.500
```

Properties
M_tot (μB/f.u.): 0.0
Energy of formation (eV/atom): -0.372



(4)
Entry from Alexandria via LeMat-Bulk: an optimized crystal structure of LiCu2P2 (PBE).

Geometry as POSCAR:
```
LiCu2P2
1.0
7.140 0.000 0.000
0.000 7.140 0.000
0.000 0.000 2.744
Li Cu P
2 4 4
direct
0.000 0.000 0.000
0.500 0.500 0.000
0.134 0.366 0.500
0.366 0.866 0.500
0.634 0.134 0.500
0.866 0.634 0.500
0.163 0.663 0.000
0.337 0.163 0.000
0.663 0.837 0.000
0.837 0.337 0.000
```

Properties
M_tot (μB/f.u.): 0.0
Energy of formation (eV/atom): -0.031



> Look up the M_tot of the third one.

0.0 μB/f.u.